Below is Zn2IrSe after structural relaxation, with properties calculated at the PBEsol level.

CIF file:
```
data_Zn2IrSe
_chemical_formula_sum 'Zn2 Ir1 Se1'
_cell_length_a 3.0562
_cell_length_b 3.6653
_cell_length_c 5.4094
_cell_angle_alpha 90.00
_cell_angle_beta 90.00
_cell_angle_gamma 90.00
_space_group_name_H-M_alt 'P m m 2'
_space_group_IT_number 25
loop_
_space_group_symop_operation_xyz
'x,y,z'
'-x,-y,z'
'-x,y,z'
'x,-y,z'
loop_
_atom_site_label
_atom_site_type_symbol
_atom_site_fract_x
_atom_site_fract_y
_atom_site_fract_z
_atom_site_occupancy
Zn1 Zn 0.0000 0.0000 0.0000 1
Zn2 Zn 0.5000 0.5000 0.2589 1
Ir1 Ir 0.0000 0.0000 0.4686 1
Se1 Se 0.5000 0.5000 0.7463 1
```

Values from the calculation:
Energy relative to the elements, uncorrected = 0.118 eV per atom
Spin magnetization = 0.00 Bohr magnetons per cell
Crystal system = orthorhombic

Below is PdRhN2 after structural relaxation, with properties calculated at the PBEsol level.

CIF file:
```
data_PdRhN2
_chemical_formula_sum 'Pd3 Rh3 N6'
_cell_length_a 2.9320
_cell_length_b 2.9320
_cell_length_c 18.2775
_cell_angle_alpha 90.00
_cell_angle_beta 90.00
_cell_angle_gamma 120.00
_space_group_name_H-M_alt 'R -3 m'
_space_group_IT_number 166
_space_group_name_Hall '-R 3 2"'
loop_
_atom_site_label
_atom_site_type_symbol
_atom_site_fract_x
_atom_site_fract_y
_atom_site_fract_z
_atom_site_occupancy
Pd1 Pd 0.0000 0.0000 0.0000 1
Rh1 Rh 0.0000 0.0000 0.5000 1
N1 N 0.0000 0.0000 0.1059 1
```

Values from the calculation:
Energy relative to the elements, uncorrected = 0.498 eV per atom
Spin magnetization = 0.00 Bohr magnetons per cell
Crystal system = trigonal

Below is KAlTc2 after structural relaxation, with properties calculated at the PBEsol level.

CIF file:
```
data_KAlTc2
_chemical_formula_sum 'K1 Al1 Tc2'
_cell_length_a 3.8552
_cell_length_b 3.8552
_cell_length_c 4.5931
_cell_angle_alpha 90.00
_cell_angle_beta 90.00
_cell_angle_gamma 90.00
_space_group_name_H-M_alt 'P 4/m m m'
_space_group_IT_number 123
_space_group_name_Hall '-P 4 2'
loop_
_atom_site_label
_atom_site_type_symbol
_atom_site_fract_x
_atom_site_fract_y
_atom_site_fract_z
_atom_site_occupancy
K1 K 0.0000 0.0000 0.0000 1
Al1 Al 0.5000 0.5000 0.0000 1
Tc1 Tc 0.0000 0.5000 0.5000 1
```

Values from the calculation:
Spin magnetization = 0.00 Bohr magnetons per cell
ΔE_f = 1.36 eV per atom
Crystal system = tetragonal

Below is Li2InAs2 after structural relaxation, with properties calculated at the PBEsol level.

CIF file:
```
data_Li2InAs2
_chemical_formula_sum 'Li4 In2 As4'
_cell_length_a 4.3095
_cell_length_b 4.3095
_cell_length_c 10.3736
_cell_angle_alpha 90.00
_cell_angle_beta 90.00
_cell_angle_gamma 90.00
_space_group_name_H-M_alt 'I 4/m m m'
_space_group_IT_number 139
_space_group_name_Hall '-I 4 2'
loop_
_atom_site_label
_atom_site_type_symbol
_atom_site_fract_x
_atom_site_fract_y
_atom_site_fract_z
_atom_site_occupancy
Li1 Li 0.0000 0.5000 0.2500 1
In1 In 0.0000 0.0000 0.0000 1
As1 As 0.0000 0.0000 0.3855 1
```

Values from the calculation:
Spin magnetization = 0.00 Bohr magnetons per cell
ΔE_f = -0.29 eV per atom
Crystal system = tetragonal

Q: spin magnetization of number 3 (KAlTc2)?
A: 0.00 Bohr magnetons per cell

Q: What is the formula in the third record?
A: KAlTc2